Entry 1:
Material: Ag2W
Method: DFT, PBE-GGA
State: optimized geometry

Structure (POSCAR):
```
Ag2W
1.0
-0.035 2.335 4.500
0.255 5.058 0.229
-2.457 -4.164 -1.524
W Ag
1 2
Direct
0.000 0.000 0.000
0.666 0.666 0.000
0.334 0.334 0.000
```

=====

Entry 2:
Material: AgW3
Method: DFT, PBE-GGA
State: optimized geometry

Structure (POSCAR):
```
AgW3
1.0
-2.271 0.785 -2.239
-2.172 -1.935 1.525
-1.783 4.737 3.470
W Ag
3 1
Direct
0.500 0.500 0.733
0.500 0.500 0.267
0.000 0.000 0.500
0.000 0.000 0.000
```

=====

Entry 3:
Material: AgW3
Method: DFT, PBE-GGA
State: optimized geometry

Structure (POSCAR):
```
AgW3
1.0
6.581 0.000 -0.014
0.000 4.539 0.000
-8.138 0.000 2.226
W Ag
3 1
Direct
0.500 0.000 0.000
0.273 0.500 0.011
0.727 0.500 0.989
0.000 0.000 0.000
```

=====

| no. | total DFT energy (no corrections) (eV/atom) | formation energy from the elements (kJ/mol of formula units) |
| --- | --- | --- |
| 1 | -5.3870 | 241 |
| 2 | -9.8639 | 218 |
| 3 | -9.9536 | 183 |